# 1
Below is a geometry-optimized Pm5Ho2Bi5 structure, with properties calculated at the PBE level.

Structure (POSCAR):
```
Pm5Ho2Bi5
1.0
-0.9333 4.1685 -1.4610
-6.7461 -3.8818 0.2092
2.9571 4.7726 11.7284
Pm Ho Bi
5 2 5
Direct
0.5000 0.0000 0.5000 Pm
0.6624 0.3249 0.0342 Pm
0.7200 0.4401 0.3411 Pm
0.2800 0.5599 0.6589 Pm
0.3376 0.6751 0.9658 Pm
0.0502 0.1003 0.7915 Ho
0.9498 0.8997 0.2085 Ho
0.1162 0.2324 0.4272 Bi
0.6909 0.3819 0.7833 Bi
0.3091 0.6181 0.2167 Bi
0.8838 0.7676 0.5728 Bi
0.0000 0.0000 0.0000 Bi
```

Calculated values
Total magnetic moment: 0.00 Bohr magnetons per cell
ΔH_f (0 K): -7.90 eV per formula unit
Space-group type: C2/m, No. 12

# 2
Below is a geometry-optimized Pr5Y3In structure, with properties calculated at the PBE level.

Structure (POSCAR):
```
Pr5Y3In
1.0
-4.7349 1.6543 -6.2978
-5.4219 -5.4377 -2.4195
-8.7030 4.2754 6.2763
Pr Y In
10 6 2
Direct
0.9096 0.3383 0.2470 Pr
0.3296 0.6704 0.0000 Pr
0.7618 0.7618 0.0400 Pr
0.4895 0.4895 0.3727 Pr
0.5105 0.5105 0.6273 Pr
0.2382 0.2382 0.9600 Pr
0.3383 0.9096 0.2470 Pr
0.6704 0.3296 0.0000 Pr
0.0904 0.6617 0.7530 Pr
0.6617 0.0904 0.7530 Pr
0.6702 0.6702 0.7817 Y
0.7440 0.7440 0.4721 Y
0.0000 0.0000 0.0000 Y
0.0000 0.0000 0.5000 Y
0.3298 0.3298 0.2183 Y
0.2560 0.2560 0.5279 Y
0.0942 0.0942 0.7412 In
0.9058 0.9058 0.2588 In
```

Calculated values
Total magnetic moment: 0.09 Bohr magnetons per cell
ΔH_f (0 K): 3.17 eV per formula unit
Space-group type: C2/m, No. 12